Entry 1:
# AgSnAu

AgSnAu after structural relaxation (PBE, Alexandria).

Lattice parameters (Å, degrees): 4.6182 4.6182 7.7269 107.52 107.52 60.15
Last column: nearest neighbours and their distance in Å.
Fractional positions:
Ag 0.0000 0.0000 0.0000  6 Au 2.81
Ag 0.5000 0.5000 0.5000  2 Au 2.74
Sn 0.2369 0.2369 0.7121  4 Au 2.92-2.97, 3 Ag 3.08
Sn 0.7631 0.7631 0.2879  4 Au 2.92-2.97, 3 Ag 3.08
Au 0.3743 0.3743 0.1215  4 Ag 2.74-2.81, 4 Sn 2.92-2.97
Au 0.6257 0.6257 0.8785  4 Ag 2.74-2.81, 4 Sn 2.92-2.97

## Properties
The energy above the most stable polymorph in this dataset is 16 meV per atom.


Entry 2:
# AgSnAu5

AgSnAu5 after structural relaxation (PBE, Alexandria).

Lattice parameters (Å, degrees): 5.6126 5.6126 10.2830 98.57 98.57 60.08
Last column: nearest neighbours and their distance in Å.
Fractional positions:
Ag 0.1541 0.8459 0.7500  6 Au 2.76-2.93
Ag 0.8459 0.1541 0.2500  6 Au 2.76-2.93
Sn 0.5000 0.5000 0.0000  6 Au 2.73-2.87
Sn 0.5000 0.5000 0.5000  6 Au 2.73-2.87
Au 0.0912 0.2130 0.5360  5 Au 2.85-3.03, 1 Sn 2.87, 2 Ag 3.10
Au 0.1419 0.3789 0.8149  7 Au 2.79-3.10, 1 Sn 2.82, 2 Ag 2.83-2.93
Au 0.2130 0.0912 0.0360  5 Au 2.85-3.03, 1 Sn 2.87, 2 Ag 3.10
Au 0.3365 0.6635 0.2500  2 Sn 2.73, 2 Ag 2.76-2.86, 4 Au 2.79-2.99
Au 0.3789 0.1419 0.3149  7 Au 2.79-3.10, 1 Sn 2.82, 2 Ag 2.83-2.93
Au 0.6211 0.8581 0.6851  7 Au 2.79-3.10, 1 Sn 2.82, 2 Ag 2.83-2.93
Au 0.6635 0.3365 0.7500  2 Sn 2.73, 2 Ag 2.76-2.86, 4 Au 2.79-2.99
Au 0.7870 0.9088 0.9640  5 Au 2.85-3.03, 1 Sn 2.87, 2 Ag 3.10
Au 0.8581 0.6211 0.1851  7 Au 2.79-3.10, 1 Sn 2.82, 2 Ag 2.83-2.93
Au 0.9088 0.7870 0.4640  5 Au 2.85-3.03, 1 Sn 2.87, 2 Ag 3.10

## Properties
The energy above the most stable polymorph in this dataset is 39 meV per atom.


Entry 3:
# Ag3SnAu6

Ag3SnAu6 after structural relaxation (PBE, Alexandria).

Lattice parameters (Å, degrees): 7.2718 7.2711 10.3650 90.00 134.39 90.00
Last column: nearest neighbours and their distance in Å.
Fractional positions:
Ag 0.0000 0.0000 0.0000  6 Au 2.84-3.03, 2 Ag 2.91
Ag 0.0000 0.5000 0.5000  6 Au 2.84-3.03, 2 Ag 2.91
Ag 0.3317 0.1966 0.5852  7 Au 2.78-3.05, 1 Ag 2.91, 1 Sn 2.94
Ag 0.3317 0.3034 0.0852  7 Au 2.78-3.05, 1 Ag 2.91, 1 Sn 2.94
Ag 0.6683 0.6966 0.9148  7 Au 2.78-3.05, 1 Ag 2.91, 1 Sn 2.94
Ag 0.6683 0.8034 0.4148  7 Au 2.78-3.05, 1 Ag 2.91, 1 Sn 2.94
Sn 0.5000 0.0000 0.0000  6 Au 2.86-3.07, 2 Ag 2.94
Sn 0.5000 0.5000 0.5000  6 Au 2.86-3.07, 2 Ag 2.94
Au 0.0505 0.6483 0.7969  6 Au 2.92-3.06, 2 Ag 3.03-3.05, 1 Sn 3.07
Au 0.0505 0.8517 0.2969  6 Au 2.92-3.06, 2 Ag 3.03-3.05, 1 Sn 3.07
Au 0.1922 0.6339 0.1409  4 Ag 2.78-2.88, 1 Sn 2.86, 5 Au 2.92-3.06
Au 0.1922 0.8661 0.6409  4 Ag 2.78-2.88, 1 Sn 2.86, 5 Au 2.92-3.06
Au 0.4052 0.1317 0.3577  4 Ag 2.78-2.85, 1 Sn 2.90, 5 Au 2.92-2.99
Au 0.4052 0.3683 0.8577  4 Ag 2.78-2.85, 1 Sn 2.90, 5 Au 2.92-2.99
Au 0.5948 0.6317 0.1423  4 Ag 2.78-2.85, 1 Sn 2.90, 5 Au 2.92-2.99
Au 0.5948 0.8683 0.6423  4 Ag 2.78-2.85, 1 Sn 2.90, 5 Au 2.92-2.99
Au 0.8078 0.1339 0.3591  4 Ag 2.78-2.88, 1 Sn 2.86, 5 Au 2.92-3.06
Au 0.8078 0.3661 0.8591  4 Ag 2.78-2.88, 1 Sn 2.86, 5 Au 2.92-3.06
Au 0.9495 0.1483 0.7031  6 Au 2.92-3.06, 2 Ag 3.03-3.05, 1 Sn 3.07
Au 0.9495 0.3517 0.2031  6 Au 2.92-3.06, 2 Ag 3.03-3.05, 1 Sn 3.07

## Properties
The energy above the most stable polymorph in this dataset is 59 meV per atom.


Entry 4:
# Ag2SnAu

Ag2SnAu after structural relaxation (PBE, Alexandria).

Lattice parameters (Å, degrees): 3.2327 9.1225 5.5403 90.00 99.57 90.00
Last column: nearest neighbours and their distance in Å.
Fractional positions:
Ag 0.1601 0.0115 0.2618  3 Au 2.87-2.92, 3 Ag 2.92-3.15, 3 Sn 3.03-3.09
Ag 0.1601 0.4885 0.2618  3 Au 2.87-2.92, 3 Ag 2.92-3.15, 3 Sn 3.03-3.09
Ag 0.8399 0.5115 0.7382  3 Au 2.87-2.92, 3 Ag 2.92-3.15, 3 Sn 3.03-3.09
Ag 0.8399 0.9885 0.7382  3 Au 2.87-2.92, 3 Ag 2.92-3.15, 3 Sn 3.03-3.09
Sn 0.4113 0.2500 0.9262  3 Au 2.88-3.21, 6 Ag 3.03-3.09
Sn 0.5887 0.7500 0.0738  3 Au 2.88-3.21, 6 Ag 3.03-3.09
Au 0.2991 0.7500 0.5529  6 Ag 2.87-2.92, 3 Sn 2.88-3.21
Au 0.7009 0.2500 0.4471  6 Ag 2.87-2.92, 3 Sn 2.88-3.21


Entry 5:
# AgSn2Au

AgSn2Au after structural relaxation (PBE, Alexandria).

Lattice parameters (Å, degrees): 5.7295 4.4460 7.6150 90.00 110.77 90.00
Last column: nearest neighbours and their distance in Å.
Fractional positions:
Ag 0.1772 0.2500 0.2959  7 Sn 2.87-3.13, 2 Au 2.91
Ag 0.8228 0.7500 0.7041  7 Sn 2.87-3.13, 2 Au 2.91
Sn 0.2878 0.7500 0.5782  4 Ag 2.87-3.13, 3 Au 2.97-3.10
Sn 0.2910 0.7500 0.0693  4 Au 2.88-3.18, 3 Ag 3.02-3.10
Sn 0.7090 0.2500 0.9307  4 Au 2.88-3.18, 3 Ag 3.02-3.10
Sn 0.7122 0.2500 0.4218  4 Ag 2.87-3.13, 3 Au 2.97-3.10
Au 0.1722 0.2500 0.7923  7 Sn 2.88-3.18, 2 Ag 2.91
Au 0.8278 0.7500 0.2077  7 Sn 2.88-3.18, 2 Ag 2.91

## Properties
The energy above the most stable polymorph in this dataset is 0 meV per atom.


Entry 6:
# AgSnAu

AgSnAu after structural relaxation (PBE, Alexandria).

Lattice parameters (Å, degrees): 4.3786 4.3786 9.1550 90.20 90.20 55.45
Last column: nearest neighbours and their distance in Å.
Fractional positions:
Ag 0.1588 0.1588 0.0746  3 Ag 2.81-2.83, 4 Au 2.88-2.91, 1 Sn 2.94
Ag 0.8412 0.8412 0.9254  3 Ag 2.81-2.83, 4 Au 2.88-2.91, 1 Sn 2.94
Sn 0.1604 0.1604 0.3952  3 Au 2.84-2.86, 1 Ag 2.94, 3 Sn 3.12-3.15
Sn 0.8396 0.8396 0.6048  3 Au 2.84-2.86, 1 Ag 2.94, 3 Sn 3.12-3.15
Au 0.1579 0.1579 0.7596  3 Sn 2.84-2.86, 4 Ag 2.88-2.91
Au 0.8421 0.8421 0.2404  3 Sn 2.84-2.86, 4 Ag 2.88-2.91

## Properties
The energy above the most stable polymorph in this dataset is 140 meV per atom.


Entry 7:
# Ag2Sn2Au3

Ag2Sn2Au3 after structural relaxation (PBE, Alexandria).

Lattice parameters (Å, degrees): 5.9274 5.9274 6.7872 106.24 106.24 38.95
Last column: nearest neighbours and their distance in Å.
Fractional positions:
Ag 0.0760 0.0760 0.2160  1 Ag 2.92, 6 Au 2.93-3.05, 3 Sn 2.96-3.10
Ag 0.9240 0.9240 0.7840  1 Ag 2.92, 6 Au 2.93-3.05, 3 Sn 2.96-3.10
Sn 0.1998 0.1998 0.6665  5 Au 2.82-2.94, 3 Ag 2.96-3.10
Sn 0.8002 0.8002 0.3335  5 Au 2.82-2.94, 3 Ag 2.96-3.10
Au 0.3713 0.3713 0.0667  3 Sn 2.82-2.94, 1 Au 2.87, 4 Ag 2.93-2.97
Au 0.5000 0.5000 0.5000  2 Au 2.87, 4 Sn 2.94, 4 Ag 3.05
Au 0.6287 0.6287 0.9333  3 Sn 2.82-2.94, 1 Au 2.87, 4 Ag 2.93-2.97

## Properties
The energy above the most stable polymorph in this dataset is 0 meV per atom.


Entry 8:
# Ag6SnAu

Ag6SnAu after structural relaxation (PBE, Alexandria).

Lattice parameters (Å, degrees): 5.9218 5.9218 4.9115 90.00 90.00 120.00
Last column: nearest neighbours and their distance in Å.
Fractional positions:
Ag 0.0008 0.5004 0.0000  8 Ag 2.95-2.98, 2 Sn 2.96, 2 Au 2.99
Ag 0.1690 0.3379 0.5000  8 Ag 2.92-3.00, 2 Au 2.96, 2 Sn 3.01
Ag 0.1690 0.8310 0.5000  8 Ag 2.92-3.00, 2 Au 2.96, 2 Sn 3.01
Ag 0.4996 0.5004 0.0000  8 Ag 2.95-2.98, 2 Sn 2.96, 2 Au 2.99
Ag 0.4996 0.9992 0.0000  8 Ag 2.95-2.98, 2 Sn 2.96, 2 Au 2.99
Ag 0.6621 0.8310 0.5000  8 Ag 2.92-3.00, 2 Au 2.96, 2 Sn 3.01
Sn 0.0000 0.0000 0.0000  12 Ag 2.96-3.01
Au 0.6667 0.3333 0.5000  12 Ag 2.96-2.99

## Properties
The energy above the most stable polymorph in this dataset is 0 meV per atom.


| no. | total moment (μB per formula unit) | formation enthalpy at 0 K (meV/atom) |
| --- | --- | --- |
| 1 | 0.0 | -43 |
| 2 | 0.0 | 25 |
| 3 | 0.0 | 21 |
| 4 | 0.0 | -6 |
| 5 | 0.0 | -64 |
| 6 | 0.0 | 80 |
| 7 | 0.0 | -49 |
| 8 | 0.0 | -7 |